Entry from Alexandria via LeMat-Bulk: an optimized crystal structure of SrSi2Br (PBE).

Unit cell a=12.5392 b=3.8999 c=5.0542 alpha=90.00 beta=92.47 gamma=90.00
Closest atoms and distances in Å follow each position.
Space group C2/m (No. 12)
Symmetry-distinct sites (fractional):
Sr: 0.0000 0.0000 0.0000 [2 per cell]  4 Br 3.19, 4 Si 3.35
Si: 0.2163 0.5000 0.0764 [4 per cell]  2 Si 2.27
Br: 0.0000 0.5000 0.5000 [2 per cell]  4 Sr 3.19, 2 Si 3.53

Results
Formation energy from raw total energies ... -0.3999 eV/atom
Distance to the lowest polymorph of the same formula ... 252.3 meV per atom